This record from Alexandria via LeMat-Bulk describes a PBEsol-optimized structure of Zn2PIr. The functional is meta-GGA SCAN.

The structure in CIF format:
```
data_Zn2PIr
_chemical_formula_sum 'Zn2 P1 Ir1'
_cell_length_a 2.841
_cell_length_b 4.669
_cell_length_c 4.219
_cell_angle_alpha 90.00
_cell_angle_beta 95.19
_cell_angle_gamma 90.00
_space_group_name_H-M_alt 'P 1'
_space_group_IT_number 1
_space_group_name_Hall 'P 1'
loop_
_atom_site_label
_atom_site_type_symbol
_atom_site_fract_x
_atom_site_fract_y
_atom_site_fract_z
_atom_site_occupancy
Zn1 Zn 0.235 0.000 0.254 1
Zn2 Zn 0.765 0.000 0.746 1
P1 P 0.000 0.500 0.000 1
Ir1 Ir 0.500 0.500 0.500 1
```

Results
For the energy of formation, the calculation gives 32 kJ/mol of formula units. As for the total energy: -27.05 eV/atom. The density of states at the Fermi level is 1.67 states/eV/cell. As for the space group: P2/m, No. 10. The size of the total moment is 0.000 μB/cell.